The following is a PBE calculation of crystalline Tb2Sc2Al at its relaxed geometry, from Alexandria via LeMat-Bulk.

Lattice parameters (Å, degrees): 4.6930 4.6930 8.8512 74.63 74.63 60.00
Closest atoms and distances in Å follow each position.
Atoms (fractional coordinates):
Tb: 0.5674 0.5674 0.2978  4 Sc 3.23-3.25, 1 Tb 3.41
Tb: 0.4326 0.4326 0.7022  4 Sc 3.23-3.25, 1 Tb 3.41
Sc: 0.3040 0.3040 0.0881  3 Al 2.81, 3 Sc 3.09
Sc: 0.6960 0.6960 0.9119  3 Al 2.81, 3 Sc 3.09
Al: 0.0000 0.0000 0.0000  6 Sc 2.81

Computed properties:
Uncorrected energy: -0.1751 Ha/atom
Density: 4.49 Mg/m³
Magnetic moment: 0.0 Bohr magnetons per cell
DOS at the Fermi energy: 7.06 states/eV/f.u.

=====

The following is a PBE calculation of crystalline InB at its relaxed geometry, from Alexandria via LeMat-Bulk.

Lattice parameters (Å, degrees): 5.3912 5.3912 5.3912 90.00 90.00 90.00
Closest atoms and distances in Å follow each position.
Atoms (fractional coordinates):
In: 0.0000 0.0000 0.0000  4 B 2.33
In: 0.0000 0.5000 0.5000  4 B 2.33
In: 0.5000 0.0000 0.5000  4 B 2.33
In: 0.5000 0.5000 0.0000  4 B 2.33
B: 0.2500 0.2500 0.2500  4 In 2.33
B: 0.2500 0.7500 0.7500  4 In 2.33
B: 0.7500 0.2500 0.7500  4 In 2.33
B: 0.7500 0.7500 0.2500  4 In 2.33

Computed properties:
Uncorrected energy: -0.1285 Ha/atom
Density: 5.33 Mg/m³
Magnetic moment: 0.0 Bohr magnetons per cell
DOS at the Fermi energy: 1.41 states/eV/f.u.

=====

The following is a PBE calculation of crystalline LaMgIr2 at its relaxed geometry, from Alexandria via LeMat-Bulk.

Lattice parameters (Å, degrees): 5.5965 5.5965 5.0606 74.27 74.27 31.14
Closest atoms and distances in Å follow each position.
Atoms (fractional coordinates):
Ir: 0.0253 0.0253 0.0386  4 Ir 2.69-3.00, 2 La 2.94, 3 Mg 2.97-3.00
Ir: 0.7176 0.7176 0.7233  4 Ir 2.69-3.00, 1 La 2.92, 2 Mg 2.98
La: 0.4800 0.4800 0.5557  7 Ir 2.92-3.10, 2 La 3.00
Mg: 0.2772 0.2772 0.1823  7 Ir 2.97-3.03, 2 Mg 3.00, 2 La 3.27-3.31

Computed properties:
Uncorrected energy: -0.2332 Ha/atom
Density: 11.56 Mg/m³
Magnetic moment: 0.0 Bohr magnetons per cell
DOS at the Fermi energy: 2.62 states/eV/f.u.

=====

The following is a PBE calculation of crystalline TbTlZn2 at its relaxed geometry, from Alexandria via LeMat-Bulk.

Lattice parameters (Å, degrees): 4.9569 4.9569 4.9569 60.00 60.00 60.00
Closest atoms and distances in Å follow each position.
Atoms (fractional coordinates):
Tl: 0.5000 0.5000 0.5000  8 Zn 3.04
Tb: 0.0000 0.0000 0.0000  8 Zn 3.04
Zn: 0.2500 0.2500 0.2500  4 Tl 3.04, 4 Tb 3.04
Zn: 0.7500 0.7500 0.7500  4 Tl 3.04, 4 Tb 3.04

Computed properties:
Uncorrected energy: -0.0934 Ha/atom
Density: 9.53 Mg/m³
Magnetic moment: 0.0 Bohr magnetons per cell
DOS at the Fermi energy: 1.33 states/eV/f.u.

=====

The following is a PBE calculation of crystalline SrInFe2 at its relaxed geometry, from Alexandria via LeMat-Bulk.

Lattice parameters (Å, degrees): 3.5634 3.5681 6.8004 90.00 90.00 90.00
Closest atoms and distances in Å follow each position.
Atoms (fractional coordinates):
Fe: 0.0000 0.0000 0.0853  1 Fe 2.24
Fe: 0.0000 0.0000 0.4147  1 Fe 2.24
In: 0.5000 0.5000 0.2500  8 Fe 2.76
Sr: 0.5000 0.5000 0.7500  8 Fe 3.40, 2 In 3.40, 4 Sr 3.56-3.57

Computed properties:
Uncorrected energy: -0.1806 Ha/atom
Density: 6.03 Mg/m³
Magnetic moment: 4.5 Bohr magnetons per cell
DOS at the Fermi energy: 2.91 states/eV/f.u.

=====

The following is a PBE calculation of crystalline HgTeRu2 at its relaxed geometry, from Alexandria via LeMat-Bulk.

Lattice parameters (Å, degrees): 4.6162 4.6162 4.6162 60.00 60.00 60.00
Closest atoms and distances in Å follow each position.
Atoms (fractional coordinates):
Ru: 0.2500 0.2500 0.2500  4 Hg 2.83, 4 Te 2.83
Ru: 0.7500 0.7500 0.7500  4 Hg 2.83, 4 Te 2.83
Te: 0.0000 0.0000 0.0000  8 Ru 2.83
Hg: 0.5000 0.5000 0.5000  8 Ru 2.83

Computed properties:
Energy relative to the elements, uncorrected: 0.442 eV per atom
Uncorrected energy: -0.1858 Ha/atom
Density: 12.66 Mg/m³
Magnetic moment: 0.0 Bohr magnetons per cell
DOS at the Fermi energy: 1.75 states/eV/f.u.

=====

Look up the magnetic moment of the second one.
0.0 Bohr magnetons per cell